Entry 1:
This record from the Open Quantum Materials Database describes a relaxed ReH crystal. The functional is PBE-GGA.

Cell lengths 2.8645, 2.8645, 2.8645 Å; angles 60.00, 60.00, 60.00 degrees
Closest atoms and distances in Å follow each position.
Positions (direct):
1 Re 0.0000 0.0000 0.0000  6 H 2.03
2 H 0.5000 0.5000 0.5000  6 Re 2.03

Calculated values
As for the energy above the most stable polymorph in this dataset: 76 meV/atom. As for the space-group type: No. 225. As for the total energy: -7.6693 eV per atom.

=====

Entry 2:
This record from the Open Quantum Materials Database describes a relaxed ReH2 crystal. The functional is PBE-GGA.

Cell lengths 4.0103, 4.0103, 4.0103 Å; angles 60.00, 60.00, 60.00 degrees
Closest atoms and distances in Å follow each position.
Positions (direct):
1 Re 0.1250 0.1250 0.1250  12 H 2.35, 4 Re 2.46
2 Re 0.8750 0.8750 0.8750  12 H 2.35, 4 Re 2.46
3 H 0.0000 0.5000 0.5000  6 H 2.01
4 H 0.5000 0.0000 0.5000  6 H 2.01
5 H 0.5000 0.5000 0.0000  6 H 2.01
6 H 0.5000 0.5000 0.5000  6 H 2.01

Calculated values
As for the energy above the most stable polymorph in this dataset: 0 meV/atom. As for the space-group type: No. 227. As for the total energy: -5.6296 eV per atom.

=====

Entry 3:
This record from the Open Quantum Materials Database describes a relaxed ReH crystal. The functional is PBE-GGA.

Cell lengths 2.7009, 2.7009, 2.9001 Å; angles 90.00, 90.00, 120.00 degrees
Closest atoms and distances in Å follow each position.
Positions (direct):
1 Re 0.0000 0.0000 0.0000  6 H 2.13
2 H 0.3333 0.6667 0.5000  6 Re 2.13

Calculated values
As for the energy above the most stable polymorph in this dataset: 589 meV/atom. As for the space-group type: No. 187. As for the total energy: -7.1562 eV per atom.

=====

Entry 4:
This record from the Open Quantum Materials Database describes a relaxed Re5H crystal. The functional is PBE-GGA.

Cell lengths 4.9535, 4.9535, 4.6376 Å; angles 90.00, 90.00, 120.00 degrees
Closest atoms and distances in Å follow each position.
Positions (direct):
1 Re 0.0000 0.5000 0.0000  8 Re 2.48-2.72
2 Re 0.3333 0.6667 0.5000  9 Re 2.72-2.86, 3 H 2.86
3 Re 0.5000 0.0000 0.0000  8 Re 2.48-2.72
4 Re 0.5000 0.5000 0.0000  8 Re 2.48-2.72
5 Re 0.6667 0.3333 0.5000  9 Re 2.72-2.86, 3 H 2.86
6 H 0.0000 0.0000 0.5000  6 Re 2.86

Calculated values
As for the space-group type: No. 191. As for the total energy: -9.8191 eV per atom.

=====

Entry 5:
This record from the Open Quantum Materials Database describes a relaxed ReTcH crystal. The functional is PBE-GGA.

Cell lengths 4.9180, 4.4590, 5.6818 Å; angles 90.00, 90.04, 90.00 degrees
Closest atoms and distances in Å follow each position.
Positions (direct):
1 Re 0.0841 0.2446 0.3756  3 H 2.00-2.01
2 Re 0.0841 0.2554 0.8756  3 H 2.00-2.01
3 Re 0.9159 0.7446 0.1244  3 H 2.00-2.01
4 Re 0.9159 0.7554 0.6244  3 H 2.00-2.01
5 Tc 0.4190 0.7459 0.8755  3 H 1.96-1.98
6 Tc 0.4190 0.7541 0.3755  3 H 1.96-1.98
7 Tc 0.5810 0.2459 0.6245  3 H 1.96-1.98
8 Tc 0.5810 0.2541 0.1245  3 H 1.96-1.98
9 H 0.2546 0.5047 0.6236  3 Tc 1.96-1.98, 3 Re 2.00-2.01
10 H 0.2546 0.9953 0.1236  3 Tc 1.96-1.98, 3 Re 2.00-2.01
11 H 0.7454 0.0047 0.8764  3 Tc 1.96-1.98, 3 Re 2.00-2.01
12 H 0.7454 0.4953 0.3764  3 Tc 1.96-1.98, 3 Re 2.00-2.01

Calculated values
As for the space-group type: No. 14. As for the total energy: -8.7352 eV per atom.

=====

Entry 6:
This record from the Open Quantum Materials Database describes a relaxed ThSbH crystal. The functional is PBE-GGA.

Cell lengths 4.1759, 4.1759, 4.2953 Å; angles 90.00, 90.00, 120.00 degrees
Closest atoms and distances in Å follow each position.
Positions (direct):
1 Th 0.0000 0.0000 0.0000  3 H 2.41
2 Sb 0.6667 0.3333 0.5000  6 Th 3.23, 6 H 3.23
3 H 0.3333 0.6667 0.0000  3 Th 2.41

Calculated values
As for the space-group type: No. 187. As for the total energy: -5.8169 eV per atom.

=====

Entry 7:
This record from the Open Quantum Materials Database describes a relaxed ZrSbH crystal. The functional is PBE-GGA.

Cell lengths 3.7729, 3.7729, 3.9839 Å; angles 90.00, 90.00, 120.00 degrees
Closest atoms and distances in Å follow each position.
Positions (direct):
1 Zr 0.0000 0.0000 0.0000  3 H 2.18
2 Sb 0.6667 0.3333 0.5000  6 Zr 2.95, 6 H 2.95
3 H 0.3333 0.6667 0.0000  3 Zr 2.18

Calculated values
As for the space-group type: No. 187. As for the total energy: -5.9919 eV per atom.

=====

Entry 8:
This record from the Open Quantum Materials Database describes a relaxed ScTaH4 crystal. The functional is PBE-GGA.

Cell lengths 3.2996, 3.2996, 4.4505 Å; angles 90.00, 90.00, 90.00 degrees
Closest atoms and distances in Å follow each position.
Positions (direct):
1 Sc 0.0000 0.0000 0.0000  8 H 2.03
2 Ta 0.5000 0.5000 0.5000  8 H 1.95
3 H 0.0000 0.5000 0.2672  2 Ta 1.95, 2 Sc 2.03, 1 H 2.07
4 H 0.0000 0.5000 0.7328  2 Ta 1.95, 2 Sc 2.03, 1 H 2.07
5 H 0.5000 0.0000 0.2672  2 Ta 1.95, 2 Sc 2.03, 1 H 2.07
6 H 0.5000 0.0000 0.7328  2 Ta 1.95, 2 Sc 2.03, 1 H 2.07

Calculated values
As for the space-group type: No. 123. As for the total energy: -5.6824 eV per atom.